An optimized crystal structure of Ca3Ac3Co. Source: Alexandria via LeMat-Bulk, functional PBE.

## Properties
As for the energy relative to the elements: -0.007 eV per atom. Its density of states at the Fermi level is 1.1999 states/eV/atom. The value obtained for the electronic total energy is -3.640 eV/atom.

a b c (Å): 6.9908 6.9908 39.9443
angles (deg): 90.00 90.00 120.00
Space group R-3 (No. 148, hexagonal axes)
Asymmetric unit:
Ca: 0.0005 0.3318 0.1270 x18
Ac: 0.9995 0.3365 0.9584 x18
Co: 0.0000 0.0000 0.3332 x6

An optimized crystal structure of Ca2Ac2Ga4Co. Source: Alexandria via LeMat-Bulk, functional PBE.

## Properties
As for the energy relative to the elements: -0.353 eV per atom. Its density of states at the Fermi level is 0.9050 states/eV/atom. The value obtained for the electronic total energy is -3.846 eV/atom.

a b c (Å): 7.366 7.366 8.465
angles (deg): 90.00 90.00 90.00
Space group I4/mmm (No. 139)
Asymmetric unit:
Ca: 0.000 0.000 0.189 x4
Ac: 0.000 0.500 0.250 x4
Ga: 0.227 0.227 0.500 x8
Co: 0.000 0.000 0.500 x2

An optimized crystal structure of Ca2AcCoH8. Source: Alexandria via LeMat-Bulk, functional PBE.

## Properties
Its density of states at the Fermi level is 0.2204 states/eV/atom. The value obtained for the electronic total energy is -3.957 eV/atom.

a b c (Å): 4.7846 4.7846 6.8601
angles (deg): 90.00 90.00 120.00
Space group P-3m1 (No. 164)
Asymmetric unit:
Ca: 0.3333 0.6667 0.3737 x2
Ac: 0.0000 0.0000 0.0000 x1
Co: 0.0000 0.0000 0.5000 x1
H: 0.1538 0.3076 0.6484 x6
H: 0.3333 0.6667 0.0481 x2

An optimized crystal structure of CaAc5In2Co. Source: Alexandria via LeMat-Bulk, functional PBE.

## Properties
As for the energy relative to the elements: -0.105 eV per atom. Its density of states at the Fermi level is 1.1328 states/eV/atom. The value obtained for the electronic total energy is -4.008 eV/atom.

a b c (Å): 3.996 22.278 14.668
angles (deg): 90.00 90.00 90.00
Space group Cmc2_1 (No. 36)
Asymmetric unit:
Ca: 0.000 0.011 0.000 x4
Ac: 0.000 0.004 0.270 x4
Ac: 0.000 0.138 0.617 x4
Ac: 0.000 0.228 0.992 x4
Ac: 0.000 0.237 0.273 x4
Ac: 0.000 0.383 0.648 x4
In: 0.000 0.388 0.364 x4
In: 0.000 0.388 0.903 x4
Co: 0.000 0.262 0.631 x4

An optimized crystal structure of Ca2Ac6CoIr. Source: Alexandria via LeMat-Bulk, functional PBE.

## Properties
As for the energy relative to the elements: -0.171 eV per atom. Its density of states at the Fermi level is 1.0288 states/eV/atom. The value obtained for the electronic total energy is -4.633 eV/atom.

a b c (Å): 8.285 8.301 11.707
angles (deg): 90.00 90.00 90.00
Space group Immm (No. 71)
Asymmetric unit:
Ca: 0.000 0.000 0.250 x4
Ac: 0.000 0.500 0.246 x4
Ac: 0.246 0.254 0.000 x8
Co: 0.000 0.500 0.000 x2
Ir: 0.000 0.500 0.500 x2

An optimized crystal structure of LiCaAcCo. Source: Alexandria via LeMat-Bulk, functional PBE.

## Properties
As for the energy relative to the elements: 0.181 eV per atom. Its density of states at the Fermi level is 0.9422 states/eV/atom. The value obtained for the electronic total energy is -3.601 eV/atom.

a b c (Å): 7.326 7.326 7.326
angles (deg): 90.00 90.00 90.00
Space group F-43m (No. 216)
Asymmetric unit:
Li: 0.000 0.000 0.000 x4
Ca: 0.250 0.250 0.250 x4
Ac: 0.250 0.250 0.750 x4
Co: 0.000 0.000 0.500 x4

An optimized crystal structure of CaAcCoN2. Source: Alexandria via LeMat-Bulk, functional PBE.

## Properties
The calculation puts the uncorrected formation energy at -578 meV/atom. Its density of states at the Fermi level is 0.1887 states/eV/atom. The value obtained for the electronic total energy is -6.551 eV/atom.

a b c (Å): 4.895 5.700 7.048
angles (deg): 90.00 90.00 90.00
Space group Pccm (No. 49)
Asymmetric unit:
Ca: 0.000 0.000 0.250 x2
Ac: 0.500 0.500 0.250 x2
Co: 0.500 0.000 0.000 x2
N: 0.259 0.239 0.000 x4

An optimized crystal structure of CaAc6CoN. Source: Alexandria via LeMat-Bulk, functional PBE.

## Properties
The calculation puts the uncorrected formation energy at -41 meV/atom. Its density of states at the Fermi level is 1.4086 states/eV/atom. The value obtained for the electronic total energy is -4.717 eV/atom.

a b c (Å): 7.3276 7.3276 7.3492
angles (deg): 90.00 90.00 120.00
Space group P312 (No. 149)
Asymmetric unit:
Ca: 0.0000 0.0000 0.0000 x1
Ac: 0.3941 0.0112 0.7186 x6
Co: 0.3333 0.6667 0.5000 x1
N: 0.6667 0.3333 0.5000 x1

An optimized crystal structure of CaAc2NdCo. Source: Alexandria via LeMat-Bulk, functional PBE.

## Properties
As for the energy relative to the elements: -0.001 eV per atom. Its density of states at the Fermi level is 1.1489 states/eV/atom. The value obtained for the electronic total energy is -4.419 eV/atom.

a b c (Å): 5.744 5.744 5.551
angles (deg): 90.00 90.00 90.00
Space group P4/mmm (No. 123)
Asymmetric unit:
Ca: 0.000 0.000 0.000 x1
Ac: 0.000 0.500 0.500 x2
Nd: 0.500 0.500 0.000 x1
Co: 0.500 0.500 0.500 x1